{"formula": "Tm6Co2Ag", "functional": "GGA-PBE", "state": "relaxed", "e_tot_ev_per_atom": -5.11, "dos_ef_per_ev_fu": 9.6, "volume_a3_per_cell": 422.3, "spacegroup": "No. 71", "lattice_angstrom": [[-4.588, 4.726, 4.869], [4.588, -4.726, 4.869], [4.588, 4.726, -4.869]], "species": ["Tm", "Tm", "Tm", "Tm", "Tm", "Tm", "Tm", "Tm", "Tm", "Tm", "Tm", "Tm", "Co", "Co", "Co", "Co", "Ag", "Ag"], "fractional_positions": [[0.015, 0.223, 0.792], [0.186, 0.291, 0.477], [0.186, 0.709, 0.895], [0.317, 0.017, 0.700], [0.317, 0.617, 0.300], [0.430, 0.223, 0.208], [0.570, 0.777, 0.792], [0.683, 0.383, 0.700], [0.683, 0.983, 0.300], [0.814, 0.291, 0.105], [0.814, 0.709, 0.523], [0.985, 0.777, 0.208], [0.115, 0.615, 0.500], [0.377, 0.000, 0.377], [0.623, 0.000, 0.623], [0.885, 0.385, 0.500], [0.000, 0.000, 0.000], [0.500, 0.500, 0.000]]}